1.
# Zr3ZnOs, relaxed, DFT PBE
# **Polymorph energy (0 for the lowest one)**: 738 meV/atom
# **Total magnetization**: 0.00 Bohr magnetons per cell
# **Density of states at the Fermi level**: 1.88 states/eV/atom
# **ρ**: 6.8 g/cm³
# **Formation energy**: 2.21 eV per formula unit
data_Zr3ZnOs
_chemical_formula_sum 'Zr3 Zn1 Os1'
_space_group_name_H-M_alt 'P m -3 m'
_space_group_IT_number 221
_space_group_name_Hall '-P 4 2 3'
_cell_length_a 5.055
_cell_length_b 5.055
_cell_length_c 5.055
_cell_angle_alpha 90.00
_cell_angle_beta 90.00
_cell_angle_gamma 90.00
loop_
_atom_site_label
_atom_site_type_symbol
_atom_site_fract_x
_atom_site_fract_y
_atom_site_fract_z
Zr1 Zr 0.000 0.000 0.500
Zn1 Zn 0.500 0.500 0.500
Os1 Os 0.000 0.000 0.000

---

2.
# ZnS, relaxed, DFT PBE
# **Total magnetization**: 0.00 Bohr magnetons per cell
# **Formation energy from raw total energies**: -0.81 eV per atom
# **Density of states at the Fermi level**: 0.00 states/eV/atom
# **ρ**: 4.0 g/cm³
data_ZnS
_chemical_formula_sum 'Zn4 S4'
_space_group_name_H-M_alt 'F -4 3 m'
_space_group_IT_number 216
_space_group_name_Hall 'F -4 2 3'
_cell_length_a 5.445
_cell_length_b 5.445
_cell_length_c 5.445
_cell_angle_alpha 90.00
_cell_angle_beta 90.00
_cell_angle_gamma 90.00
loop_
_atom_site_label
_atom_site_type_symbol
_atom_site_fract_x
_atom_site_fract_y
_atom_site_fract_z
Zn1 Zn 0.000 0.000 0.000
S1 S 0.250 0.250 0.250

---

3.
# SiSeCl, relaxed, DFT PBE
# **Polymorph energy (0 for the lowest one)**: 75 meV/atom
# **Total magnetization**: 0.00 Bohr magnetons per cell
# **Formation energy from raw total energies**: -0.49 eV per atom
# **Density of states at the Fermi level**: 0.13 states/eV/atom
# **ρ**: 2.8 g/cm³
data_SiSeCl
_chemical_formula_sum 'Si2 Se2 Cl2'
_space_group_name_H-M_alt 'I 4 m m'
_space_group_IT_number 107
_space_group_name_Hall 'I 4 -2'
_cell_length_a 3.511
_cell_length_b 3.511
_cell_length_c 13.866
_cell_angle_alpha 90.00
_cell_angle_beta 90.00
_cell_angle_gamma 90.00
loop_
_atom_site_label
_atom_site_type_symbol
_atom_site_fract_x
_atom_site_fract_y
_atom_site_fract_z
Si1 Si 0.000 0.000 0.000
Se1 Se 0.000 0.000 0.550
Cl1 Cl 0.000 0.000 0.851

---

4.
# LaSm4DyEr2, relaxed, DFT PBE
# **Total magnetization**: 0.00 Bohr magnetons per cell
# **Density of states at the Fermi level**: 1.39 states/eV/atom
# **ρ**: 7.8 g/cm³
# **Formation energy**: 0.15 eV per formula unit
data_LaSm4DyEr2
_chemical_formula_sum 'La2 Sm8 Dy2 Er4'
_space_group_name_H-M_alt 'P -1'
_space_group_IT_number 2
_cell_length_a 7.210
_cell_length_b 7.217
_cell_length_c 10.171
_cell_angle_alpha 90.00
_cell_angle_beta 90.06
_cell_angle_gamma 90.10
loop_
_space_group_symop_operation_xyz
'x,y,z'
'-x,-y,-z'
loop_
_atom_site_label
_atom_site_type_symbol
_atom_site_fract_x
_atom_site_fract_y
_atom_site_fract_z
La1 La 0.000 0.000 0.000
La2 La 0.500 0.000 0.500
Sm1 Sm 0.249 0.747 0.250
Sm2 Sm 0.249 0.748 0.750
Sm3 Sm 0.250 0.252 0.749
Sm4 Sm 0.250 0.253 0.251
Dy1 Dy 0.500 0.000 0.000
Dy2 Dy 0.500 0.500 0.000
Er1 Er 0.000 0.000 0.500
Er2 Er 0.000 0.500 0.000
Er3 Er 0.000 0.500 0.500
Er4 Er 0.500 0.500 0.500

---

5.
# RbMg2NpO6, relaxed, DFT PBE
# **Total magnetization**: 0.00 Bohr magnetons per cell
# **Formation energy from raw total energies**: -2.47 eV per atom
# **ρ**: 5.1 g/cm³
data_RbMg2NpO6
_chemical_formula_sum 'Rb4 Mg8 Np4 O24'
_space_group_name_H-M_alt 'C 1 2/c 1'
_space_group_IT_number 15
_cell_length_a 9.040
_cell_length_b 10.842
_cell_length_c 6.235
_cell_angle_alpha 90.00
_cell_angle_beta 91.17
_cell_angle_gamma 90.00
loop_
_space_group_symop_operation_xyz
'x,y,z'
'-x,-y,-z'
'-x,y,-z+1/2'
'x,-y,z+1/2'
'x+1/2,y+1/2,z'
'-x+1/2,-y+1/2,-z'
'-x+1/2,y+1/2,-z+1/2'
'x+1/2,-y+1/2,z+1/2'
loop_
_atom_site_label
_atom_site_type_symbol
_atom_site_fract_x
_atom_site_fract_y
_atom_site_fract_z
Rb1 Rb 0.000 0.083 0.250
Mg1 Mg 0.156 0.400 0.333
Np1 Np 0.000 0.303 0.750
O1 O 0.050 0.320 0.064
O2 O 0.142 0.166 0.681
O3 O 0.156 0.436 0.674

---

6.
# Cs2RbTlAs, relaxed, DFT PBE
# **Total magnetization**: 0.00 Bohr magnetons per cell
# **Density of states at the Fermi level**: 0.94 states/eV/atom
# **ρ**: 3.4 g/cm³
# **Formation energy**: -0.33 eV per formula unit
data_Cs2RbTlAs
_chemical_formula_sum 'Cs2 Rb1 Tl1 As1'
_space_group_name_H-M_alt 'P 4/m m m'
_space_group_IT_number 123
_space_group_name_Hall '-P 4 2'
_cell_length_a 7.408
_cell_length_b 7.408
_cell_length_c 5.695
_cell_angle_alpha 90.00
_cell_angle_beta 90.00
_cell_angle_gamma 90.00
loop_
_atom_site_label
_atom_site_type_symbol
_atom_site_fract_x
_atom_site_fract_y
_atom_site_fract_z
Cs1 Cs 0.000 0.500 0.000
Rb1 Rb 0.000 0.000 0.500
Tl1 Tl 0.500 0.500 0.500
As1 As 0.500 0.500 0.000

---

7.
# Zn2CrMo, relaxed, DFT PBE
# **Polymorph energy (0 for the lowest one)**: 134 meV/atom
# **Total magnetization**: 1.36 Bohr magnetons per cell
# **Density of states at the Fermi level**: 0.89 states/eV/atom
# **ρ**: 8.0 g/cm³
# **Formation energy**: 1.07 eV per formula unit
data_Zn2CrMo
_chemical_formula_sum 'Zn6 Cr3 Mo3'
_space_group_name_H-M_alt 'R 3 m'
_space_group_IT_number 160
_space_group_name_Hall 'R 3 -2"'
_cell_length_a 2.7001
_cell_length_b 2.7001
_cell_length_c 27.3224
_cell_angle_alpha 90.00
_cell_angle_beta 90.00
_cell_angle_gamma 120.00
loop_
_atom_site_label
_atom_site_type_symbol
_atom_site_fract_x
_atom_site_fract_y
_atom_site_fract_z
Zn1 Zn 0.0000 0.0000 0.0000
Zn2 Zn 0.0000 0.0000 0.2474
Cr1 Cr 0.0000 0.0000 0.7458
Mo1 Mo 0.0000 0.0000 0.4942

---

8.
# CsFeBr3, relaxed, DFT PBE
# **Total magnetization**: 0.00 Bohr magnetons per cell
# **Formation energy from raw total energies**: -0.78 eV per atom
# **Density of states at the Fermi level**: 0.01 states/eV/atom
# **ρ**: 4.6 g/cm³
data_CsFeBr3
_chemical_formula_sum 'Cs2 Fe2 Br6'
_space_group_name_H-M_alt 'P 63/m m c'
_space_group_IT_number 194
_space_group_name_Hall '-P 6c 2c'
_cell_length_a 7.5833
_cell_length_b 7.5833
_cell_length_c 6.1957
_cell_angle_alpha 90.00
_cell_angle_beta 90.00
_cell_angle_gamma 120.00
loop_
_atom_site_label
_atom_site_type_symbol
_atom_site_fract_x
_atom_site_fract_y
_atom_site_fract_z
Cs1 Cs 0.3333 0.6667 0.2500
Fe1 Fe 0.0000 0.0000 0.0000
Br1 Br 0.1471 0.2943 0.7500